1.
Entry from Alexandria: Ba4Bi3PbO12 at its PBEsol-relaxed geometry (SCAN).

Cell lengths 6.137, 6.137, 10.621 Å; angles 73.68, 73.68, 59.86 degrees
Positions (direct):
Ba (0.870, 0.870, 0.380)
Ba (0.373, 0.373, 0.875)
Ba (0.627, 0.627, 0.125)
Ba (0.130, 0.130, 0.620)
Bi (0.249, 0.249, 0.251)
Bi (0.751, 0.751, 0.749)
Bi (0.000, 0.000, 0.000)
Pb (0.500, 0.500, 0.500)
O (0.090, 0.090, 0.163)
O (0.593, 0.593, 0.658)
O (0.407, 0.407, 0.342)
O (0.910, 0.910, 0.837)
O (0.394, 0.893, 0.394)
O (0.894, 0.398, 0.891)
O (0.602, 0.106, 0.109)
O (0.107, 0.606, 0.606)
O (0.893, 0.394, 0.394)
O (0.398, 0.894, 0.891)
O (0.106, 0.602, 0.109)
O (0.606, 0.107, 0.606)

As for the spin magnetization: 0.00 μB per formula unit. The value obtained for the total energy is -29.11 eV per atom. For the volume, the calculation gives 327.2 Å³/f.u. As for the energy relative to the elements, uncorrected: -182.24 kJ per mole of atoms. The density of states at the Fermi level is 2.0 states/eV/f.u.

***

2.
Entry from Alexandria: LiPtCl3 at its PBEsol-relaxed geometry (SCAN).

Cell lengths 4.839, 4.839, 4.839 Å; angles 90.00, 90.00, 90.00 degrees
Positions (direct):
Li (0.500, 0.500, 0.500)
Pt (0.000, 0.000, 0.000)
Cl (0.000, 0.500, 0.000)
Cl (0.000, 0.000, 0.500)
Cl (0.500, 0.000, 0.000)

As for the spin magnetization: 0.00 μB per formula unit. The value obtained for the total energy is -20.03 eV per atom. For the volume, the calculation gives 113.3 Å³/f.u. As for the energy relative to the elements, uncorrected: -70.13 kJ per mole of atoms. The density of states at the Fermi level is 1.2 states/eV/f.u.